The following is a DFT calculation (PBE) of a geometry-optimized Dy2ErTl2Zn3Cd structure.

Cell lengths 4.5376, 7.2091, 7.2091 Å; angles 119.72, 90.00, 90.00 degrees
Last column: nearest neighbours and their distance in Å.
Fractional coordinates of all 9 atoms:
Dy1 0.0000 0.2151 0.7849  1 Cd 3.11, 4 Tl 3.13, 2 Zn 3.33
Dy2 0.0000 0.7849 0.2151  1 Cd 3.11, 4 Tl 3.13, 2 Zn 3.33
Er1 0.0000 0.6465 0.6465  1 Cd 3.10, 4 Tl 3.11, 2 Zn 3.35
Tl1 0.5000 0.5496 0.8814  3 Zn 2.85, 2 Er 3.11, 4 Dy 3.13
Tl2 0.5000 0.8814 0.5496  3 Zn 2.85, 2 Er 3.11, 4 Dy 3.13
Zn1 0.5000 0.2156 0.4466  2 Cd 2.81, 2 Tl 2.85, 2 Zn 2.88
Zn2 0.5000 0.4466 0.2156  2 Cd 2.81, 2 Tl 2.85, 2 Zn 2.88
Zn3 0.5000 0.9867 0.9867  2 Cd 2.82, 2 Tl 2.85, 2 Zn 2.88
Cd1 0.0000 0.2182 0.2182  6 Zn 2.81-2.82, 1 Er 3.10, 2 Dy 3.11

## Properties
The density is 9.81 g/cm³. As for the total energy: -2.874 eV/atom. Its space-group type is Amm2, No. 38.